[1]
Density functional theory data (PBE) for a geometry-optimized KCdTc2Cl structure.

ΔE_f (raw), eV per atom: 1.3317

a = 5.176 Å, b = 5.176 Å, c = 6.950 Å
α = 90.00°, β = 90.00°, γ = 90.00°
Space group P4/mmm (No. 123)
One atom of each set of equivalent atoms:
K1 0.000 0.000 0.000 (multiplicity 1)
Cd1 0.000 0.000 0.500 (multiplicity 1)
Tc1 0.000 0.500 0.500 (multiplicity 2)
Cl1 0.500 0.500 0.000 (multiplicity 1)



[2]
Density functional theory data (PBE) for a geometry-optimized Mn2CoOs structure.

ΔH_f (0 K), eV per atom: 0.1420

a = 2.892 Å, b = 4.144 Å, c = 8.334 Å
α = 90.00°, β = 90.00°, γ = 90.00°
Space group Imm2 (No. 44)
One atom of each set of equivalent atoms:
Mn1 0.000 0.000 0.000 (multiplicity 2)
Mn2 0.000 0.500 0.250 (multiplicity 2)
Co1 0.000 0.000 0.507 (multiplicity 2)
Os1 0.000 0.500 0.749 (multiplicity 2)



[3]
Density functional theory data (PBE) for a geometry-optimized KOs2 structure.

ΔH_f (0 K), eV per atom: 0.9983
Energy above the lowest structure with this stoichiometry, eV per atom: 0.222

a = 2.931 Å, b = 2.931 Å, c = 14.672 Å
α = 90.00°, β = 90.00°, γ = 90.00°
Space group I4/mmm (No. 139)
One atom of each set of equivalent atoms:
K1 0.000 0.000 0.000 (multiplicity 2)
Os1 0.000 0.000 0.299 (multiplicity 4)



[4]
Density functional theory data (PBE) for a geometry-optimized TlZnHgSb structure.

Energy above the lowest structure with this stoichiometry, eV per atom: 0.000
ΔE_f (raw), eV per atom: 0.0180

a = 4.5295 Å, b = 4.5295 Å, c = 20.6564 Å
α = 90.00°, β = 90.00°, γ = 120.00°
Space group R3m (No. 160, hexagonal axes)
One atom of each set of equivalent atoms:
Tl1 0.0000 0.0000 0.0000 (multiplicity 3)
Zn1 0.0000 0.0000 0.2143 (multiplicity 3)
Hg1 0.0000 0.0000 0.7682 (multiplicity 3)
Sb1 0.0000 0.0000 0.5526 (multiplicity 3)



[5]
Density functional theory data (PBE) for a geometry-optimized CeSm2ThN4 structure.

ΔE_f (raw), eV per atom: -1.5379

a = 6.234 Å, b = 3.611 Å, c = 6.248 Å
α = 90.00°, β = 109.51°, γ = 90.00°
Space group P2/m (No. 10)
One atom of each set of equivalent atoms:
Ce1 0.000 0.000 0.000 (multiplicity 1)
Sm1 0.500 0.000 0.500 (multiplicity 1)
Sm2 0.500 0.500 0.000 (multiplicity 1)
Th1 0.000 0.500 0.500 (multiplicity 1)
N1 0.241 0.500 0.247 (multiplicity 2)
N2 0.242 0.000 0.748 (multiplicity 2)



[6]
Density functional theory data (PBE) for a geometry-optimized YCdCl2 structure.

Energy above the lowest structure with this stoichiometry, eV per atom: 0.426
ΔE_f (raw), eV per atom: -0.8809

a = 4.606 Å, b = 4.606 Å, c = 4.413 Å
α = 90.00°, β = 90.00°, γ = 90.00°
Space group P4/mmm (No. 123)
One atom of each set of equivalent atoms:
Y1 0.000 0.000 0.000 (multiplicity 1)
Cd1 0.500 0.500 0.000 (multiplicity 1)
Cl1 0.000 0.500 0.500 (multiplicity 2)